1.
Here is a geometry-optimized CeCoGe2Ru structure from Alexandria. Energies are from GGA-PBE.

Output
Its electronic total energy is -0.508 Ry/atom.

```
5
Lattice="4.134 0.000 0.000 0.000 4.134 0.000 -2.067 -2.067 5.094" Properties=species:S:1:pos:R:3 pbc="T T T"
Ce 0.000 0.000 0.000
Co 0.000 2.067 2.547
Ge 2.067 2.067 1.310
Ge 0.000 0.000 3.784
Ru 2.067 0.000 2.547
```


2.
Here is a geometry-optimized Ce2Co3Ge4Ru structure from Alexandria. Energies are from GGA-PBE.

Output
The energy above the lowest structure with this stoichiometry comes out at 5 meV per atom.

```
10
Lattice="4.115 0.000 0.000 0.000 4.115 0.000 0.000 0.000 10.002" Properties=species:S:1:pos:R:3 pbc="T T T"
Ce 2.057 0.000 7.443
Ce 0.000 2.057 2.559
Co 0.000 0.000 5.001
Co 0.000 0.000 0.000
Co 2.057 2.057 5.001
Ge 0.000 2.057 8.756
Ge 2.057 0.000 3.862
Ge 2.057 0.000 1.247
Ge 0.000 2.057 6.140
Ru 2.057 2.057 0.000
```


3.
Here is a geometry-optimized Ce2CoGe4Ru3 structure from Alexandria. Energies are from GGA-PBE.

Output
Its electronic total energy is -0.525 Ry/atom.

```
10
Lattice="4.213 0.000 0.000 0.000 4.213 0.000 0.000 0.000 10.087" Properties=species:S:1:pos:R:3 pbc="T T T"
Ce 2.107 0.000 7.546
Ce 0.000 2.107 2.541
Co 2.107 2.107 0.000
Ge 0.000 2.107 8.893
Ge 2.107 0.000 3.803
Ge 2.107 0.000 1.194
Ge 0.000 2.107 6.285
Ru 0.000 0.000 5.044
Ru 0.000 0.000 0.000
Ru 2.107 2.107 5.044
```


4.
Here is a geometry-optimized Ce2Co4SiGe3 structure from Alexandria. Energies are from GGA-PBE.

Output
The formation energy from raw total energies is -0.619 eV per atom.

```
10
Lattice="-1.881 1.423 3.271 -3.486 -1.520 -1.344 1.836 -8.354 4.690" Properties=species:S:1:pos:R:3 pbc="T T T"
Ce -0.469 -1.433 2.839
Ce -0.378 -6.970 2.814
Co -2.684 -0.049 0.964
Co 0.000 0.000 0.000
Co 0.209 -4.518 4.571
Co -1.056 -3.884 1.082
Si -1.765 -4.226 3.309
Ge 0.918 -4.177 2.345
Ge 0.656 -6.553 5.714
Ge -1.503 -1.849 -0.060
```


5.
Here is a geometry-optimized Ce2Co4SnGe3 structure from Alexandria. Energies are from GGA-PBE.

Output
Its electronic total energy is -0.435 Ry/atom.

```
10
Lattice="4.221 0.000 0.000 0.000 4.221 0.000 0.000 0.000 10.618" Properties=species:S:1:pos:R:3 pbc="T T T"
Ce 2.110 0.000 2.312
Ce 0.000 2.110 8.306
Co 2.110 2.110 0.000
Co 0.000 0.000 0.000
Co 2.110 0.000 9.647
Co 0.000 2.110 0.971
Sn 2.110 2.110 5.309
Ge 0.000 0.000 5.309
Ge 2.110 0.000 7.381
Ge 0.000 2.110 3.237
```


6.
Here is a geometry-optimized Ce2CoTcGe6 structure from Alexandria. Energies are from GGA-PBE.

Output
Its electronic total energy is -0.447 Ry/atom.

```
20
Lattice="-5.568 -2.194 1.285 -3.882 -1.344 -4.538 1.144 -12.297 -1.464" Properties=species:S:1:pos:R:3 pbc="T T T"
Ce -8.001 -7.290 -3.381
Ce -0.305 -8.546 -1.336
Ce -5.649 -13.381 -3.589
Ce -2.657 -2.455 -1.128
Co -5.113 -5.432 -2.274
Co -3.193 -10.404 -2.444
Tc 0.000 0.000 0.000
Tc -4.153 -7.918 -2.359
Ge -6.086 -7.145 -0.934
Ge -5.105 -6.651 -4.320
Ge -2.848 -5.869 -1.681
Ge -2.221 -8.691 -3.783
Ge -3.201 -9.185 -0.397
Ge -5.458 -9.967 -3.036
Ge -3.549 -12.563 -1.499
Ge -2.835 -12.203 -3.966
Ge -1.190 -11.634 -2.043
Ge -4.757 -3.273 -3.218
Ge -5.471 -3.633 -0.751
Ge -7.116 -4.203 -2.674
```


7.
Here is a geometry-optimized CeThCo2Ge2 structure from Alexandria. Energies are from GGA-PBE.

Output
Its electronic total energy is -0.496 Ry/atom.

```
6
Lattice="-2.780 3.002 0.847 -0.628 -3.885 1.403 3.828 1.719 6.473" Properties=species:S:1:pos:R:3 pbc="T T T"
Ce 1.914 0.859 3.236
Th 0.000 0.000 0.000
Co -1.098 1.139 2.664
Co 1.518 -0.304 6.059
Ge 0.782 1.983 5.842
Ge -0.362 -1.148 2.881
```


8.
Here is a geometry-optimized CeTh2Co4Ge3 structure from Alexandria. Energies are from GGA-PBE.

Output
Its electronic total energy is -0.504 Ry/atom.

```
10
Lattice="-2.823 2.466 -2.036 -0.335 -2.929 -3.082 -7.289 -4.310 4.888" Properties=species:S:1:pos:R:3 pbc="T T T"
Ce -5.224 -2.386 -0.115
Th -3.017 0.284 0.059
Th -5.852 -4.825 2.270
Co -1.579 -0.232 -2.559
Co 0.000 0.000 0.000
Co -6.035 -1.501 2.083
Co -2.833 -3.040 0.246
Ge -3.645 -2.155 2.444
Ge -7.798 -2.543 3.265
Ge -1.070 -1.998 -0.936
```


9.
Here is a geometry-optimized Ce2Th2CoGe4 structure from Alexandria. Energies are from GGA-PBE.

Output
Its electronic total energy is -0.461 Ry/atom.

```
9
Lattice="6.415 0.337 0.487 -2.783 5.789 -0.487 -2.783 -2.490 5.249" Properties=species:S:1:pos:R:3 pbc="T T T"
Ce -3.869 2.293 3.310
Ce -1.698 1.007 1.453
Th 0.424 3.888 1.191
Th 0.424 -0.251 4.059
Co 0.000 0.000 0.000
Ge -2.783 3.825 0.874
Ge -0.875 2.694 3.889
Ge -2.783 -0.526 3.889
Ge 1.723 0.943 1.361
```


10.
Here is a geometry-optimized CeThCoGe structure from Alexandria. Energies are from GGA-PBE.

Output
Its electronic total energy is -0.479 Ry/atom.

```
8
Lattice="-2.106 -3.141 -2.347 0.751 -2.938 3.257 -8.468 2.521 4.227" Properties=species:S:1:pos:R:3 pbc="T T T"
Ce -4.234 1.260 2.113
Ce -4.911 -1.779 2.568
Th -6.761 0.655 5.191
Th -2.384 -1.174 -0.509
Co -2.756 -0.537 3.192
Co -6.389 0.018 1.490
Ge -8.366 0.606 2.477
Ge -0.779 -1.125 2.205
```


Magnetic moment values (in μB/atom) by entry order: 0.1061; 0.1997; 0.1377; 0.0082; 0.4125; 0.1776; 0.1209; 0.1323; 0.2540; 0.0000.